No. 1
! Sb4Os PBE relaxed; values from VASP
&SYSTEM
  ibrav = 0, nat = 5, ntyp = 2
/
ATOMIC_SPECIES
Sb 121.76 Sb.upf
Os 190.23 Os.upf
ATOMIC_POSITIONS angstrom
Sb -1.612 1.612 1.612
Sb 1.612 1.612 1.612
Sb 1.612 -1.612 1.612
Sb 1.612 1.612 -1.612
Os 0.000 0.000 0.000
CELL_PARAMETERS angstrom
-3.225 3.225 3.225
3.225 -3.225 3.225
3.225 3.225 -3.225
! crystal system = cubic
! magnetic moment = 0.00 μB/f.u.
! E = -4.9990 eV/atom
! space-group type = Im-3m (229)



No. 2
! CeDy3Ir4 PBE relaxed; values from VASP
&SYSTEM
  ibrav = 0, nat = 8, ntyp = 3
/
ATOMIC_SPECIES
Ir 192.22 Ir.upf
Ce 140.12 Ce.upf
Dy 162.50 Dy.upf
ATOMIC_POSITIONS angstrom
Ir 3.468 -2.092 2.849
Ir 4.850 -5.322 3.143
Ir 0.000 0.000 0.000
Ir 1.345 -3.207 0.264
Ce -1.532 -2.568 -0.021
Dy 0.596 -1.455 2.568
Dy 1.936 -4.659 2.828
Dy 4.016 -3.518 5.378
CELL_PARAMETERS angstrom
-2.324 -0.790 2.249
-0.740 -4.345 -2.290
6.935 -4.184 5.697
! crystal system = orthorhombic
! magnetic moment = 0.00 μB/f.u.
! E = -7.6734 eV/atom
! E_form = -0.7753 eV per atom
! space-group type = Pmmm (47)



No. 3
! ZnIr3Rh4 PBE relaxed; values from VASP
&SYSTEM
  ibrav = 0, nat = 8, ntyp = 3
/
ATOMIC_SPECIES
Zn 65.41 Zn.upf
Ir 192.22 Ir.upf
Rh 102.91 Rh.upf
ATOMIC_POSITIONS angstrom
Zn 0.000 0.000 0.000
Ir -3.328 -5.908 -4.517
Ir -1.085 -2.058 -1.523
Ir -2.207 -3.983 -3.020
Rh -1.986 -3.883 -5.755
Rh -2.427 -4.083 -0.285
Rh -3.518 -6.064 -1.806
Rh -0.895 -1.902 -4.234
CELL_PARAMETERS angstrom
-2.510 -0.122 -2.920
1.781 -1.717 -4.001
-3.684 -6.127 0.880
! crystal system = monoclinic
! magnetic moment = 0.00 μB/f.u.
! E = -7.2403 eV/atom
! E_form = -0.0824 eV per atom
! space-group type = C2/m (12)